# 1
Below is LaIrC after structural relaxation, with properties calculated at the PBE level.

size of the total moment = 0.0 Bohr magnetons per cell
Fermi-level density of states = 2.5 states/eV/cell
ΔE_f = -63 meV/atom
excess energy over the best structure of this formula in the dataset = 185.2 meV/atom

a = 3.4074 Å, b = 3.4074 Å, c = 5.2370 Å
α = 90.00°, β = 90.00°, γ = 120.00°
Fractional coordinates of all 3 atoms:
La 0.0000 0.0000 0.0000
Ir 0.3333 0.6667 0.5315
C 0.6667 0.3333 0.6418

=====

# 2
Below is GaCu3Pt after structural relaxation, with properties calculated at the PBE level.

size of the total moment = 0.0 Bohr magnetons per cell
Fermi-level density of states = 1.9 states/eV/cell
ΔE_f = 99 meV/atom
excess energy over the best structure of this formula in the dataset = 187.9 meV/atom

a = 5.0820 Å, b = 5.0820 Å, c = 4.8792 Å
α = 116.28°, β = 116.28°, γ = 59.71°
Fractional coordinates of all 5 atoms:
Ga 0.0000 0.0000 0.0000
Cu 0.0000 0.5000 0.5000
Cu 0.5000 0.0000 0.5000
Cu 0.5000 0.5000 0.5000
Pt 0.0000 0.0000 0.5000

=====

Values of calculated density, in order: 10.82, 8.08, all in g/cm3.